Record 1
Crystalline Ta2CoAgCl at its relaxed geometry. Source: Alexandria via LeMat-Bulk, functional PBE.

a = 4.641 Å, b = 4.518 Å, c = 4.641 Å
α = 90.00°, β = 90.00°, γ = 90.00°
Element x y z (fractional)
Cl1 0.000 0.500 0.000
Co1 0.000 0.000 0.000
Ag1 0.500 0.500 0.500
Ta1 0.000 0.000 0.500
Ta2 0.500 0.000 0.000

Properties
Calculated total energy, eV/atom: -6.019
Energy relative to the elements, uncorrected, eV per atom: 1.08
Fermi-level density of states, states/eV/atom: 1.020
Total moment, μB/f.u.: 0.00

***

Record 2
Crystalline TbCoAgCl6 at its relaxed geometry. Source: Alexandria via LeMat-Bulk, functional PBE.

a = 6.550 Å, b = 6.550 Å, c = 12.171 Å
α = 90.00°, β = 90.00°, γ = 120.00°
Each line ends with the local moment (μB).
Element x y z (fractional)
Tb1 0.667 0.333 0.250  0.00
Tb2 0.333 0.667 0.750  0.00
Co1 0.333 0.667 0.250  2.50
Co2 0.667 0.333 0.750  2.50
Ag1 0.000 0.000 0.000  0.02
Ag2 0.000 0.000 0.500  0.02
Cl1 0.637 0.661 0.133  0.06
Cl2 0.024 0.363 0.133  0.06
Cl3 0.363 0.024 0.633  0.06
Cl4 0.976 0.637 0.867  0.06
Cl5 0.339 0.363 0.367  0.06
Cl6 0.024 0.661 0.367  0.06
Cl7 0.661 0.024 0.867  0.06
Cl8 0.637 0.976 0.367  0.06
Cl9 0.976 0.339 0.633  0.06
Cl10 0.339 0.976 0.133  0.06
Cl11 0.661 0.637 0.633  0.06
Cl12 0.363 0.339 0.867  0.06

Properties
Calculated total energy, eV/atom: -4.111
Energy relative to the elements, uncorrected, eV per atom: -1.26
Fermi-level density of states, states/eV/atom: 0.099
Total moment, μB/f.u.: 3.00

***

Record 3
Crystalline Tl3CoAg2Cl9 at its relaxed geometry. Source: Alexandria via LeMat-Bulk, functional PBE.

a = 7.148 Å, b = 7.148 Å, c = 8.631 Å
α = 90.00°, β = 90.00°, γ = 120.00°
Each line ends with the local moment (μB).
Element x y z (fractional)
Tl1 0.333 0.667 0.694  0.00
Tl2 0.000 0.000 0.000  0.00
Tl3 0.667 0.333 0.306  0.00
Co1 0.000 0.000 0.500  0.58
Ag1 0.333 0.667 0.182  -0.02
Ag2 0.667 0.333 0.818  -0.02
Cl1 0.849 0.151 0.654  0.00
Cl2 0.849 0.698 0.654  0.00
Cl3 0.302 0.151 0.654  0.00
Cl4 0.698 0.849 0.346  0.00
Cl5 0.151 0.302 0.346  0.00
Cl6 0.151 0.849 0.346  0.00
Cl7 0.500 0.000 0.000  0.00
Cl8 0.000 0.500 0.000  0.00
Cl9 0.500 0.500 0.000  0.00

Properties
Calculated total energy, eV/atom: -3.107
Energy relative to the elements, uncorrected, eV per atom: -0.67
Fermi-level density of states, states/eV/atom: 0.956
Total moment, μB/f.u.: 0.58

***

Record 4
Crystalline TlCoAgCl5 at its relaxed geometry. Source: Alexandria via LeMat-Bulk, functional PBE.

a = 7.614 Å, b = 7.614 Å, c = 8.988 Å
α = 102.84°, β = 102.84°, γ = 107.06°
Each line ends with the local moment (μB).
Element x y z (fractional)
Tl1 0.334 0.666 0.250  0.02
Tl2 0.666 0.334 0.750  0.02
Co1 0.674 0.326 0.250  2.60
Co2 0.326 0.674 0.750  2.60
Ag1 0.000 0.000 0.500  0.09
Ag2 0.000 0.000 0.000  0.09
Cl1 0.082 0.918 0.250  0.05
Cl2 0.918 0.082 0.750  0.05
Cl3 0.895 0.337 0.127  0.18
Cl4 0.105 0.663 0.873  0.18
Cl5 0.663 0.105 0.373  0.18
Cl6 0.337 0.895 0.627  0.18
Cl7 0.738 0.601 0.432  0.20
Cl8 0.262 0.399 0.568  0.20
Cl9 0.399 0.262 0.068  0.20
Cl10 0.601 0.738 0.932  0.20

Properties
Calculated total energy, eV/atom: -3.342
Energy relative to the elements, uncorrected, eV per atom: -0.65
Fermi-level density of states, states/eV/atom: 0.930
Total moment, μB/f.u.: 3.86